## HoMgW2O6 (GGA+U)

Data for crystalline HoMgW2O6 at its relaxed geometry.

Properties
V, Å³ per atom: 12.28
Energy, eV/atom: -7.434
Fermi-level density of states, states/eV/cell: 0.0

a b c (Å): 5.4451 7.9847 5.6492
angles (deg): 90.00 90.86 90.00
With the nearest neighbours (Å) after each atom.
Space group Pm (No. 6)
Asymmetric unit:
Ho1 0.0000 0.0000 0.0000  4 O 2.19-2.27
Ho2 0.4989 0.5000 0.3899  4 O 2.20-2.23
Mg1 0.4975 0.0000 0.4822  4 O 2.04-2.16
Mg2 0.9956 0.5000 0.9137  4 O 2.03-2.25
W1 0.4945 0.2498 0.9429  6 O 2.14-2.20
W2 0.9943 0.2503 0.4515  6 O 2.02-2.18
O1 0.1227 0.5000 0.5371  2 W 2.17, 1 Ho 2.22, 1 Mg 2.25
O2 0.1615 0.1842 0.7600  2 W 2.02-2.14, 1 Ho 2.19
O3 0.3081 0.1780 0.2709  2 W 2.08-2.20, 1 Mg 2.11
O4 0.3529 0.5000 0.0190  1 Mg 2.03, 2 W 2.19, 1 Ho 2.23
O5 0.6213 0.0000 0.8469  1 Mg 2.16, 2 W 2.18, 1 Ho 2.22
O6 0.6830 0.3186 0.6257  2 W 2.05-2.15, 1 Ho 2.20
O7 0.8290 0.3204 0.1341  2 W 2.07-2.18, 1 Mg 2.11
O8 0.8544 0.0000 0.3751  1 Mg 2.04, 2 W 2.18, 1 Ho 2.27